1.
The following is a DFT calculation (GGA-PBE) of crystalline La2YPd2 at its relaxed geometry.

Cell and atoms, written as CIF:
```
data_La2YPd2
_cell_length_a 5.264
_cell_length_b 5.264
_cell_length_c 10.545
_cell_angle_alpha 90.00
_cell_angle_beta 90.00
_cell_angle_gamma 90.00
_symmetry_space_group_name_H-M 'I 4/m m m'
_symmetry_Int_Tables_number 139
_symmetry_space_group_name_Hall '-I 4 2'
loop_
_atom_site_label
_atom_site_type_symbol
_atom_site_fract_x
_atom_site_fract_y
_atom_site_fract_z
La1 La 0.000 0.000 0.148
Y1 Y 0.000 0.000 0.500
Pd1 Pd 0.000 0.500 0.250
```

* excess energy over the best structure of this formula in the dataset: 439 meV/atom
* electronic total energy: -5.580 eV per atom
* energy of formation: -0.239 eV per atom

***

2.
The following is a DFT calculation (GGA-PBE) of crystalline Be2IrAu at its relaxed geometry.

Cell and atoms, written as CIF:
```
data_Be2IrAu
_cell_length_a 2.805
_cell_length_b 4.629
_cell_length_c 9.002
_cell_angle_alpha 90.00
_cell_angle_beta 90.00
_cell_angle_gamma 90.00
_symmetry_space_group_name_H-M 'I m m m'
_symmetry_Int_Tables_number 71
_symmetry_space_group_name_Hall '-I 2 2'
loop_
_atom_site_label
_atom_site_type_symbol
_atom_site_fract_x
_atom_site_fract_y
_atom_site_fract_z
Be1 Be 0.000 0.000 0.243
Ir1 Ir 0.000 0.000 0.000
Au1 Au 0.000 0.000 0.500
```

* electronic total energy: -4.321 eV per atom
* energy of formation: 0.577 eV per atom

***

3.
The following is a DFT calculation (GGA-PBE) of crystalline Ag2PCl at its relaxed geometry.

Cell and atoms, written as CIF:
```
data_Ag2PCl
_cell_length_a 3.675
_cell_length_b 3.675
_cell_length_c 13.254
_cell_angle_alpha 90.00
_cell_angle_beta 90.00
_cell_angle_gamma 90.00
_symmetry_space_group_name_H-M 'I -4 m 2'
_symmetry_Int_Tables_number 119
_symmetry_space_group_name_Hall 'I -4 -2'
loop_
_atom_site_label
_atom_site_type_symbol
_atom_site_fract_x
_atom_site_fract_y
_atom_site_fract_z
Ag1 Ag 0.000 0.000 0.000
Ag2 Ag 0.000 0.500 0.250
P1 P 0.000 0.000 0.500
Cl1 Cl 0.000 0.500 0.750
```

* E_form (uncorrected): 1.1 eV per formula unit
* excess energy over the best structure of this formula in the dataset: 246 meV/atom
* electronic total energy: -2.970 eV per atom

***

4.
The following is a DFT calculation (GGA-PBE) of crystalline MgNi at its relaxed geometry.

Cell and atoms, written as CIF:
```
data_MgNi
_cell_length_a 7.586
_cell_length_b 7.586
_cell_length_c 7.586
_cell_angle_alpha 90.00
_cell_angle_beta 90.00
_cell_angle_gamma 90.00
_symmetry_space_group_name_H-M 'I -4 3 m'
_symmetry_Int_Tables_number 217
_symmetry_space_group_name_Hall 'I -4 2 3'
loop_
_atom_site_label
_atom_site_type_symbol
_atom_site_fract_x
_atom_site_fract_y
_atom_site_fract_z
Mg1 Mg 0.205 0.205 0.205
Ni1 Ni 0.109 0.109 0.891
```

* electronic total energy: -3.149 eV per atom
* energy of formation: 0.539 eV per atom

***

5.
The following is a DFT calculation (GGA-PBE) of crystalline HoPuSn at its relaxed geometry.

Cell and atoms, written as CIF:
```
data_HoPuSn
_cell_length_a 5.2378
_cell_length_b 5.2378
_cell_length_c 3.4701
_cell_angle_alpha 90.00
_cell_angle_beta 90.00
_cell_angle_gamma 120.00
_symmetry_space_group_name_H-M 'P 3 m 1'
_symmetry_Int_Tables_number 156
loop_
_symmetry_equiv_pos_as_xyz
'x,y,z'
'-y,x-y,z'
'-x+y,-x,z'
'-y,-x,z'
'-x+y,y,z'
'x,x-y,z'
loop_
_atom_site_label
_atom_site_type_symbol
_atom_site_fract_x
_atom_site_fract_y
_atom_site_fract_z
Ho1 Ho 0.0000 0.0000 0.0000
Pu1 Pu 0.6667 0.3333 0.5807
Sn1 Sn 0.3333 0.6667 0.2412
```

* excess energy over the best structure of this formula in the dataset: 249 meV/atom
* electronic total energy: -7.861 eV per atom
* energy of formation: -0.224 eV per atom

***

6.
The following is a DFT calculation (GGA-PBE) of crystalline TmVOs at its relaxed geometry.

Cell and atoms, written as CIF:
```
data_TmVOs
_cell_length_a 5.298
_cell_length_b 5.504
_cell_length_c 7.268
_cell_angle_alpha 90.00
_cell_angle_beta 90.00
_cell_angle_gamma 90.00
_symmetry_space_group_name_H-M 'I m m a'
_symmetry_Int_Tables_number 74
_symmetry_space_group_name_Hall '-I 2b 2'
loop_
_atom_site_label
_atom_site_type_symbol
_atom_site_fract_x
_atom_site_fract_y
_atom_site_fract_z
Tm1 Tm 0.000 0.250 0.129
V1 V 0.250 0.250 0.750
Os1 Os 0.000 0.000 0.500
```

* excess energy over the best structure of this formula in the dataset: 0 meV/atom
* electronic total energy: -8.562 eV per atom
* energy of formation: -0.289 eV per atom

***

7.
The following is a DFT calculation (GGA-PBE) of crystalline In4GaSn2 at its relaxed geometry.

Cell and atoms, written as CIF:
```
data_In4GaSn2
_cell_length_a 7.778
_cell_length_b 7.778
_cell_length_c 6.528
_cell_angle_alpha 90.00
_cell_angle_beta 90.00
_cell_angle_gamma 90.00
_symmetry_space_group_name_H-M 'I -4 2 m'
_symmetry_Int_Tables_number 121
_symmetry_space_group_name_Hall 'I -4 2'
loop_
_atom_site_label
_atom_site_type_symbol
_atom_site_fract_x
_atom_site_fract_y
_atom_site_fract_z
In1 In 0.207 0.207 0.002
Ga1 Ga 0.000 0.000 0.500
Sn1 Sn 0.000 0.500 0.250
```

* excess energy over the best structure of this formula in the dataset: 65 meV/atom
* electronic total energy: -3.013 eV per atom
* energy of formation: 0.128 eV per atom

***

8.
The following is a DFT calculation (GGA-PBE) of crystalline Er8Sb2Rh at its relaxed geometry.

Cell and atoms, written as CIF:
```
data_Er8Sb2Rh
_cell_length_a 18.548
_cell_length_b 4.606
_cell_length_c 7.181
_cell_angle_alpha 90.00
_cell_angle_beta 97.23
_cell_angle_gamma 90.00
_symmetry_space_group_name_H-M 'C 1 2/m 1'
_symmetry_Int_Tables_number 12
loop_
_symmetry_equiv_pos_as_xyz
'x,y,z'
'-x,-y,-z'
'-x,y,-z'
'x,-y,z'
'x+1/2,y+1/2,z'
'-x+1/2,-y+1/2,-z'
'-x+1/2,y+1/2,-z'
'x+1/2,-y+1/2,z'
loop_
_atom_site_label
_atom_site_type_symbol
_atom_site_fract_x
_atom_site_fract_y
_atom_site_fract_z
Er1 Er 0.001 0.000 0.272
Er2 Er 0.095 0.500 0.015
Er3 Er 0.144 0.500 0.536
Er4 Er 0.215 0.000 0.849
Sb1 Sb 0.182 0.000 0.274
Rh1 Rh 0.000 0.500 0.500
```

* E_form (uncorrected): -5.8 eV per formula unit
* electronic total energy: -5.266 eV per atom

***

9.
The following is a DFT calculation (GGA-PBE) of crystalline La2CoAs4Ir3 at its relaxed geometry.

Cell and atoms, written as CIF:
```
data_La2CoAs4Ir3
_cell_length_a 4.357
_cell_length_b 4.357
_cell_length_c 9.883
_cell_angle_alpha 90.00
_cell_angle_beta 90.00
_cell_angle_gamma 90.00
_symmetry_space_group_name_H-M 'P -4 m 2'
_symmetry_Int_Tables_number 115
loop_
_symmetry_equiv_pos_as_xyz
'x,y,z'
'y,-x,-z'
'-x,-y,z'
'-y,x,-z'
'-x,y,z'
'-y,-x,-z'
'x,-y,z'
'y,x,-z'
loop_
_atom_site_label
_atom_site_type_symbol
_atom_site_fract_x
_atom_site_fract_y
_atom_site_fract_z
La1 La 0.000 0.500 0.250
Co1 Co 0.000 0.000 0.500
As1 As 0.000 0.000 0.000
As2 As 0.000 0.500 0.628
As3 As 0.500 0.500 0.000
Ir1 Ir 0.000 0.500 0.880
Ir2 Ir 0.500 0.500 0.500
```

* electronic total energy: -6.996 eV per atom
* energy of formation: -0.782 eV per atom

***

10.
The following is a DFT calculation (GGA-PBE) of crystalline Ca2TlAg at its relaxed geometry.

Cell and atoms, written as CIF:
```
data_Ca2TlAg
_cell_length_a 3.681
_cell_length_b 3.809
_cell_length_c 7.844
_cell_angle_alpha 90.00
_cell_angle_beta 90.28
_cell_angle_gamma 90.00
_symmetry_space_group_name_H-M 'P 1 2/m 1'
_symmetry_Int_Tables_number 10
loop_
_symmetry_equiv_pos_as_xyz
'x,y,z'
'-x,-y,-z'
'-x,y,-z'
'x,-y,z'
loop_
_atom_site_label
_atom_site_type_symbol
_atom_site_fract_x
_atom_site_fract_y
_atom_site_fract_z
Ca1 Ca 0.001 0.000 0.263
Tl1 Tl 0.500 0.500 0.000
Ag1 Ag 0.500 0.500 0.500
```

* electronic total energy: -2.670 eV per atom
* energy of formation: -0.364 eV per atom

***

11.
The following is a DFT calculation (GGA-PBE) of crystalline MnFePt at its relaxed geometry.

Cell and atoms, written as CIF:
```
data_MnFePt
_cell_length_a 5.925
_cell_length_b 5.925
_cell_length_c 5.925
_cell_angle_alpha 90.00
_cell_angle_beta 90.00
_cell_angle_gamma 90.00
_symmetry_space_group_name_H-M 'F -4 3 m'
_symmetry_Int_Tables_number 216
_symmetry_space_group_name_Hall 'F -4 2 3'
loop_
_atom_site_label
_atom_site_type_symbol
_atom_site_fract_x
_atom_site_fract_y
_atom_site_fract_z
Mn1 Mn 0.000 0.000 0.000
Fe1 Fe 0.000 0.000 0.500
Pt1 Pt 0.250 0.250 0.750
```

* electronic total energy: -7.648 eV per atom
* energy of formation: 0.243 eV per atom

***

12.
The following is a DFT calculation (GGA-PBE) of crystalline VCrAsS2 at its relaxed geometry.

Cell and atoms, written as CIF:
```
data_VCrAsS2
_cell_length_a 4.733
_cell_length_b 4.733
_cell_length_c 4.569
_cell_angle_alpha 90.00
_cell_angle_beta 90.00
_cell_angle_gamma 90.00
_symmetry_space_group_name_H-M 'P 4/m m m'
_symmetry_Int_Tables_number 123
_symmetry_space_group_name_Hall '-P 4 2'
loop_
_atom_site_label
_atom_site_type_symbol
_atom_site_fract_x
_atom_site_fract_y
_atom_site_fract_z
V1 V 0.000 0.000 0.000
Cr1 Cr 0.500 0.500 0.000
As1 As 0.000 0.000 0.500
S1 S 0.000 0.500 0.500
```

* E_form (uncorrected): 7.4 eV per formula unit
* electronic total energy: -4.841 eV per atom

***

Among the records above, which one has the highest electronic total energy?
Ca2TlAg